Arrangement i

The following is a SCAN calculation of a PBEsol-optimized structure of AlAu5, from Alexandria.

```
data_AlAu5
_chemical_formula_sum 'Al2 Au10'
_space_group_name_H-M_alt 'C m m m'
_space_group_IT_number 65
_space_group_name_Hall '-C 2 2'
_cell_length_a 4.007
_cell_length_b 12.140
_cell_length_c 4.081
_cell_angle_alpha 90.00
_cell_angle_beta 90.00
_cell_angle_gamma 90.00
loop_
_atom_site_label
_atom_site_type_symbol
_atom_site_fract_x
_atom_site_fract_y
_atom_site_fract_z
Al1 Al 0.000 0.000 0.000
Au1 Au 0.000 0.165 0.500
Au2 Au 0.000 0.341 0.000
Au3 Au 0.000 0.500 0.500
```

Arrangement ii

The following is a SCAN calculation of a PBEsol-optimized structure of AlAu5, from Alexandria.

```
data_AlAu5
_chemical_formula_sum 'Al2 Au10'
_space_group_name_H-M_alt 'A m m 2'
_space_group_IT_number 38
_cell_length_a 4.618
_cell_length_b 3.050
_cell_length_c 14.156
_cell_angle_alpha 90.00
_cell_angle_beta 90.00
_cell_angle_gamma 90.00
loop_
_space_group_symop_operation_xyz
'x,y,z'
'-x,-y,z'
'-x,y,z'
'x,-y,z'
'x,y+1/2,z+1/2'
'-x,-y+1/2,z+1/2'
'-x,y+1/2,z+1/2'
'x,-y+1/2,z+1/2'
loop_
_atom_site_label
_atom_site_type_symbol
_atom_site_fract_x
_atom_site_fract_y
_atom_site_fract_z
Al1 Al 0.000 0.000 0.000
Au1 Au 0.000 0.000 0.342
Au2 Au 0.000 0.000 0.659
Au3 Au 0.500 0.000 0.119
Au4 Au 0.500 0.000 0.455
Au5 Au 0.500 0.000 0.786
```

Which of them is most stable, and which least? Most stable: arrangement i; least stable: arrangement ii.

Arrangement i

The following is a SCAN calculation of a PBEsol-optimized structure of AlAu5, from Alexandria.

```
data_AlAu5
_chemical_formula_sum 'Al2 Au10'
_space_group_name_H-M_alt 'C 1 2/m 1'
_space_group_IT_number 12
_cell_length_a 9.700
_cell_length_b 3.487
_cell_length_c 6.246
_cell_angle_alpha 90.00
_cell_angle_beta 109.71
_cell_angle_gamma 90.00
loop_
_space_group_symop_operation_xyz
'x,y,z'
'-x,-y,-z'
'-x,y,-z'
'x,-y,z'
'x+1/2,y+1/2,z'
'-x+1/2,-y+1/2,-z'
'-x+1/2,y+1/2,-z'
'x+1/2,-y+1/2,z'
loop_
_atom_site_label
_atom_site_type_symbol
_atom_site_fract_x
_atom_site_fract_y
_atom_site_fract_z
Al1 Al 0.000 0.000 0.000
Au1 Au 0.000 0.000 0.500
Au2 Au 0.153 0.500 0.846
Au3 Au 0.165 0.500 0.317
```

Arrangement ii

The following is a SCAN calculation of a PBEsol-optimized structure of AlAu5, from Alexandria.

```
data_AlAu5
_chemical_formula_sum 'Al1 Au5'
_space_group_name_H-M_alt 'P -6 2 m'
_space_group_IT_number 189
_space_group_name_Hall 'P -6 -2'
_cell_length_a 4.9691
_cell_length_b 4.9691
_cell_length_c 4.6380
_cell_angle_alpha 90.00
_cell_angle_beta 90.00
_cell_angle_gamma 120.00
loop_
_atom_site_label
_atom_site_type_symbol
_atom_site_fract_x
_atom_site_fract_y
_atom_site_fract_z
Al1 Al 0.0000 0.0000 0.0000
Au1 Au 0.0000 0.6759 0.5000
Au2 Au 0.3333 0.6667 0.0000
```

Which of them is most stable, and which least? Most stable: arrangement i; least stable: arrangement ii.

Arrangement i

The following is a SCAN calculation of a PBEsol-optimized structure of AlAuCl2, from Alexandria.

```
data_AlAuCl2
_chemical_formula_sum 'Al4 Au4 Cl8'
_space_group_name_H-M_alt 'F m -3 m'
_space_group_IT_number 225
_space_group_name_Hall '-F 4 2 3'
_cell_length_a 6.761
_cell_length_b 6.761
_cell_length_c 6.761
_cell_angle_alpha 90.00
_cell_angle_beta 90.00
_cell_angle_gamma 90.00
loop_
_atom_site_label
_atom_site_type_symbol
_atom_site_fract_x
_atom_site_fract_y
_atom_site_fract_z
Al1 Al 0.000 0.000 0.000
Au1 Au 0.000 0.000 0.500
Cl1 Cl 0.250 0.250 0.250
```

Arrangement ii

The following is a SCAN calculation of a PBEsol-optimized structure of AlAuCl2, from Alexandria.

```
data_AlAuCl2
_chemical_formula_sum 'Al4 Au4 Cl8'
_space_group_name_H-M_alt 'I -4 2 d'
_space_group_IT_number 122
_space_group_name_Hall 'I -4 2bw'
_cell_length_a 8.855
_cell_length_b 8.855
_cell_length_c 5.001
_cell_angle_alpha 90.00
_cell_angle_beta 90.00
_cell_angle_gamma 90.00
loop_
_atom_site_label
_atom_site_type_symbol
_atom_site_fract_x
_atom_site_fract_y
_atom_site_fract_z
Al1 Al 0.000 0.000 0.000
Au1 Au 0.000 0.000 0.500
Cl1 Cl 0.080 0.750 0.125
```

Which of them is most stable, and which least? Most stable: arrangement ii; least stable: arrangement i.